A relaxed structure of MoBr3O. Source: Alexandria via LeMat-Bulk, functional PBE+U.

**Offset from the most stable computed form**: 0 meV per atom
**Space group**: No. 14
**E**: -83.98 eV/cell

CIF file:
```
data_MoBr3O
_chemical_formula_sum 'Mo4 Br12 O4'
_cell_length_a 3.886
_cell_length_b 12.598
_cell_length_c 13.171
_cell_angle_alpha 90.00
_cell_angle_beta 106.95
_cell_angle_gamma 90.00
_symmetry_space_group_name_H-M 'P 1'
_symmetry_Int_Tables_number 1
_symmetry_space_group_name_Hall 'P 1'
loop_
_atom_site_label
_atom_site_type_symbol
_atom_site_fract_x
_atom_site_fract_y
_atom_site_fract_z
_atom_site_occupancy
Mo1 Mo 0.169 0.111 0.111 1
Mo2 Mo 0.169 0.389 0.611 1
Mo3 Mo 0.831 0.611 0.389 1
Mo4 Mo 0.831 0.889 0.889 1
Br1 Br 0.100 0.601 0.601 1
Br2 Br 0.100 0.899 0.101 1
Br3 Br 0.104 0.194 0.602 1
Br4 Br 0.104 0.306 0.102 1
Br5 Br 0.305 0.102 0.306 1
Br6 Br 0.305 0.398 0.806 1
Br7 Br 0.695 0.602 0.194 1
Br8 Br 0.695 0.898 0.694 1
Br9 Br 0.896 0.694 0.898 1
Br10 Br 0.896 0.806 0.398 1
Br11 Br 0.900 0.101 0.899 1
Br12 Br 0.900 0.399 0.399 1
O1 O 0.378 0.604 0.396 1
O2 O 0.378 0.896 0.896 1
O3 O 0.622 0.104 0.104 1
O4 O 0.622 0.396 0.604 1
```